(P)
First-principles (PBE) data for an optimized crystal structure of SmReTc, as listed in the Alexandria database.

```
data_SmReTc
_space_group_name_H-M_alt 'P 1'
_space_group_IT_number 1
_cell_length_a 11.1733
_cell_length_b 10.6029
_cell_length_c 5.1443
_cell_angle_alpha 82.60
_cell_angle_beta 70.23
_cell_angle_gamma 27.17
loop_
_space_group_symop_operation_xyz
'x,y,z'
loop_
_atom_site_label
_atom_site_type_symbol
_atom_site_fract_x
_atom_site_fract_y
_atom_site_fract_z
Sm1 Sm 0.0486 0.7014 0.0486
Sm2 Sm 0.2986 0.9514 0.2986
Sm3 Sm 0.7014 0.0486 0.7014
Sm4 Sm 0.9514 0.2986 0.9514
Re1 Re 0.0004 0.0004 0.2496
Re2 Re 0.9996 0.9996 0.7504
Re3 Re 0.2496 0.2496 0.0004
Re4 Re 0.7504 0.7504 0.9996
Tc1 Tc 0.2855 0.2855 0.4645
Tc2 Tc 0.4645 0.4645 0.2855
Tc3 Tc 0.5355 0.5355 0.7145
Tc4 Tc 0.7145 0.7145 0.5355
```

Summary:
Symmetry = No. 70

(Q)
First-principles (PBE) data for an optimized crystal structure of SmReTc, as listed in the Alexandria database.

```
data_SmReTc
_space_group_name_H-M_alt 'P 1'
_space_group_IT_number 1
_cell_length_a 7.7924
_cell_length_b 7.7924
_cell_length_c 7.7924
_cell_angle_alpha 148.11
_cell_angle_beta 148.11
_cell_angle_gamma 45.73
loop_
_space_group_symop_operation_xyz
'x,y,z'
loop_
_atom_site_label
_atom_site_type_symbol
_atom_site_fract_x
_atom_site_fract_y
_atom_site_fract_z
Sm1 Sm 0.1685 0.1685 0.0000
Sm2 Sm 0.8315 0.8315 0.0000
Re1 Re 0.4029 0.4029 0.0000
Re2 Re 0.5971 0.5971 0.0000
Tc1 Tc 0.0000 0.5000 0.5000
Tc2 Tc 0.5000 0.0000 0.5000
```

Summary:
Symmetry = No. 139

Which of them is the least stable? Correct choice: (P).